Entry 1:
Compound: CsLiNi2N
Source: Alexandria via LeMat-Bulk
Functional: PBE
Structure: relaxed

a b c (Å): 3.9619 3.9619 4.7997
angles (deg): 90.00 90.00 90.00
Fractional positions:
Cs: 0.0000 0.0000 0.0000
Li: 0.5000 0.5000 0.0000
Ni: 0.0000 0.5000 0.5000
Ni: 0.5000 0.0000 0.5000
N: 0.5000 0.5000 0.5000

---

Entry 2:
Compound: SnTe2F2
Source: Alexandria via LeMat-Bulk
Functional: PBE
Structure: relaxed

a b c (Å): 8.0464 8.0464 3.0842
angles (deg): 90.00 90.00 90.00
Fractional positions:
Sn: 0.0000 0.0000 0.0000
Sn: 0.5000 0.5000 0.0000
Te: 0.1269 0.3731 0.0000
Te: 0.3731 0.8731 0.0000
Te: 0.6269 0.1269 0.0000
Te: 0.8731 0.6269 0.0000
F: 0.1921 0.6921 0.5000
F: 0.3079 0.1921 0.5000
F: 0.6921 0.8079 0.5000
F: 0.8079 0.3079 0.5000

---

Entry 3:
Compound: IrBr
Source: Alexandria via LeMat-Bulk
Functional: PBE
Structure: relaxed

a b c (Å): 4.4863 4.4863 4.4863
angles (deg): 41.14 41.14 41.14
Fractional positions:
Ir: 0.0000 0.0000 0.0000
Br: 0.5000 0.5000 0.5000

---

Entry 4:
Compound: Nb2TeAsBr
Source: Alexandria via LeMat-Bulk
Functional: PBE
Structure: relaxed

a b c (Å): 4.8816 4.8816 4.9759
angles (deg): 90.00 90.00 90.00
Fractional positions:
Nb: 0.0000 0.5000 0.0000
Nb: 0.5000 0.0000 0.0000
Te: 0.0000 0.0000 0.5000
As: 0.5000 0.5000 0.5000
Br: 0.5000 0.5000 0.0000

---

Number 1: M_tot 0.869 μB/cell, formation energy (no corrections) 0.432 eV/atom, volume 15.07 Å³ per atom. Number 2: M_tot 0.000 μB/cell, formation energy (no corrections) -0.808 eV/atom, volume 19.97 Å³ per atom. Number 3: M_tot 0.000 μB/cell, formation energy (no corrections) 1.146 eV/atom, volume 17.65 Å³ per atom. Number 4: M_tot 0.000 μB/cell, formation energy (no corrections) 1.232 eV/atom, volume 23.71 Å³ per atom.